Entry from Alexandria via LeMat-Bulk: a relaxed Ac4Ga crystal (PBE-GGA).

Calculated values
energy relative to the elements = -0.060 eV per atom
total moment = 0.001 μB/f.u.
ΔE to the lowest computed polymorph = 112 meV/atom

Cell lengths 7.8750, 18.6768, 6.7972 Å; angles 90.00, 124.59, 90.00 degrees
Closest atoms and distances in Å follow each position.
Space group C2/c (No. 15)
Unique sites:
Ac (0.2187, 0.0768, 0.1820) [8 per cell]  2 Ga 3.19-3.20
Ac (0.2312, 0.2987, 0.2396) [8 per cell]  1 Ga 3.28
Ga (0.0000, 0.4435, 0.2500) [4 per cell]  6 Ac 3.19-3.28


Entry from Alexandria via LeMat-Bulk: a relaxed Li3ScN crystal (PBE-GGA).

Calculated values
uncorrected formation energy = 2.008 eV per atom
total moment = 1.723 μB/f.u.
ΔE to the lowest computed polymorph = 1859 meV/atom

Cell lengths 5.1205, 5.1205, 5.1205 Å; angles 90.00, 90.00, 90.00 degrees
Closest atoms and distances in Å follow each position.
Space group Pm-3m (No. 221)
Unique sites:
Li (0.0000, 0.0000, 0.5000) [3 per cell]  2 Sc 2.56
Sc (0.0000, 0.0000, 0.0000) [1 per cell]  6 Li 2.56
N (0.5000, 0.5000, 0.5000) [1 per cell]  12 Li 3.62


Entry from Alexandria via LeMat-Bulk: a relaxed Ho2AlCo2Ni5 crystal (PBE-GGA).

Calculated values
energy relative to the elements = -0.262 eV per atom
total moment = 2.265 μB/f.u.

Cell lengths 8.7416, 8.7416, 3.7165 Å; angles 90.00, 90.00, 90.00 degrees
Closest atoms and distances in Å follow each position.
Space group P4/mbm (No. 127)
Unique sites:
Ho (0.1744, 0.3256, 0.0000) [4 per cell]  3 Co 2.48-2.65
Al (0.0000, 0.0000, 0.0000) [2 per cell]  8 Ni 2.64
Co (0.1247, 0.6247, 0.0000) [4 per cell]  6 Ni 2.41-2.44, 3 Ho 2.48-2.65
Ni (0.0000, 0.5000, 0.5000) [2 per cell]  4 Co 2.41, 4 Ni 2.64
Ni (0.0633, 0.7957, 0.5000) [8 per cell]  2 Co 2.44, 2 Al 2.64, 3 Ni 2.64


Entry from Alexandria via LeMat-Bulk: a relaxed LiSiAgIr crystal (PBE-GGA).

Calculated values
uncorrected formation energy = -0.266 eV per atom
total moment = 0.000 μB/f.u.

Cell lengths 6.0065, 6.0065, 6.0065 Å; angles 90.00, 90.00, 90.00 degrees
Closest atoms and distances in Å follow each position.
Space group F-43m (No. 216)
Unique sites:
Li (0.0000, 0.0000, 0.0000) [4 per cell]  4 Ir 2.60, 4 Ag 2.60
Si (0.0000, 0.0000, 0.5000) [4 per cell]  4 Ir 2.60, 4 Ag 2.60
Ag (0.2500, 0.2500, 0.7500) [4 per cell]  4 Li 2.60, 4 Si 2.60
Ir (0.2500, 0.2500, 0.2500) [4 per cell]  4 Li 2.60, 4 Si 2.60


Entry from Alexandria via LeMat-Bulk: a relaxed AuC3O crystal (PBE-GGA).

Calculated values
uncorrected formation energy = 3.538 eV per atom
total moment = 2.607 μB/f.u.
ΔE to the lowest computed polymorph = 470 meV/atom

Cell lengths 4.1362, 4.1362, 4.1362 Å; angles 90.00, 90.00, 90.00 degrees
Closest atoms and distances in Å follow each position.
Space group Pm-3m (No. 221)
Unique sites:
Au (0.0000, 0.0000, 0.0000) [1 per cell]  6 C 2.07
C (0.0000, 0.0000, 0.5000) [3 per cell]  2 Au 2.07
O (0.5000, 0.5000, 0.5000) [1 per cell]  12 C 2.92


Entry from Alexandria via LeMat-Bulk: a relaxed LaAlO3 crystal (PBE-GGA).

Calculated values
uncorrected formation energy = -3.294 eV per atom
total moment = 0.000 μB/f.u.

Cell lengths 3.7783, 3.7783, 3.7783 Å; angles 90.00, 90.00, 90.00 degrees
Closest atoms and distances in Å follow each position.
Space group Pm-3m (No. 221)
Unique sites:
La (0.0000, 0.0000, 0.0000) [1 per cell]  12 O 2.67
Al (0.5000, 0.5000, 0.5000) [1 per cell]  6 O 1.89
O (0.0000, 0.5000, 0.5000) [3 per cell]  2 Al 1.89